[1]
A relaxed PbW crystal, computed with PBE-GGA.

## Properties
Relative energy among the computed polymorphs (kJ per mole of atoms): 25.4
E_form (eV per atom): 0.76
VASP energy (eV per cell): -90.885
Symmetry: P6_3/mmc

a b c (Å): 8.3982 8.3982 4.7683
angles (deg): 90.00 90.00 120.00
With the nearest neighbours (Å) after each atom.
Fractional positions:
Pb 0.8119 0.6237 0.2500  6 W 2.91-3.04
Pb 0.1881 0.8119 0.7500  6 W 2.91-3.04
Pb 0.3763 0.1881 0.2500  6 W 2.91-3.04
Pb 0.1881 0.3763 0.7500  6 W 2.91-3.04
Pb 0.8119 0.1881 0.2500  6 W 2.91-3.04
Pb 0.6237 0.8119 0.7500  6 W 2.91-3.04
W 0.4382 0.8765 0.2500  2 W 2.64, 2 Pb 2.91
W 0.5618 0.4382 0.7500  2 W 2.64, 2 Pb 2.91
W 0.1235 0.5618 0.2500  2 W 2.64, 2 Pb 2.91
W 0.5618 0.1235 0.7500  2 W 2.64, 2 Pb 2.91
W 0.4382 0.5618 0.2500  2 W 2.64, 2 Pb 2.91
W 0.8765 0.4382 0.7500  2 W 2.64, 2 Pb 2.91

---

[2]
A relaxed Rb4Tm3NpSe8 crystal, computed with PBE-GGA.

## Properties
Formation energy (no corrections) (eV/atom): -1.591
VASP energy (eV per cell): -83.563
Symmetry: R-3m

a b c (Å): 8.4637 9.3575 8.4656
angles (deg): 116.92 119.99 90.00
With the nearest neighbours (Å) after each atom.
Fractional positions:
Rb 0.5000 0.0000 0.0000  6 Se 3.42
Rb 0.5000 0.0000 0.5000  6 Se 3.46-3.47
Rb 0.0000 0.0000 0.0000  6 Se 3.46-3.47
Rb 0.0000 0.0000 0.5000  6 Se 3.46-3.47
Tm 0.5000 0.5000 0.0000  6 Se 2.87-2.89
Tm 0.5000 0.5000 0.5000  6 Se 2.87-2.89
Tm 0.0000 0.5000 0.5000  6 Se 2.87-2.89
Np 0.0000 0.5000 0.0000  6 Se 2.94
Se 0.2350 0.6940 0.9594  2 Tm 2.87, 1 Np 2.94
Se 0.2350 0.6941 0.4700  2 Tm 2.87, 1 Np 2.94
Se 0.2689 0.3071 0.5379  3 Tm 2.89
Se 0.7244 0.6940 0.9594  2 Tm 2.87, 1 Np 2.94
Se 0.2756 0.3060 0.0406  2 Tm 2.87, 1 Np 2.94
Se 0.7311 0.6929 0.4621  3 Tm 2.89
Se 0.7650 0.3059 0.5300  2 Tm 2.87, 1 Np 2.94
Se 0.7650 0.3060 0.0406  2 Tm 2.87, 1 Np 2.94

---

[3]
A relaxed NpO2F crystal, computed with PBE-GGA.

## Properties
Relative energy among the computed polymorphs (kJ per mole of atoms): 3.1
Formation energy (no corrections) (eV/atom): -2.631
VASP energy (eV per cell): -35.254
Symmetry: I4mm

a b c (Å): 3.3752 3.3752 6.5239
angles (deg): 104.99 104.99 90.00
With the nearest neighbours (Å) after each atom.
Fractional positions:
Np 0.8283 0.8283 0.6566  1 O 1.79, 1 F 1.98
O 0.6805 0.6805 0.3610  1 Np 1.79
O 0.3326 0.3326 0.6652  4 Np 2.39
F 0.9916 0.9916 0.9831  1 Np 1.98

---

[4]
A relaxed LiPa2Tc crystal, computed with PBE-GGA.

## Properties
Relative energy among the computed polymorphs (kJ per mole of atoms): 2.4
E_form (eV per atom): 0.14
VASP energy (eV per cell): -30.711
Symmetry: Fm-3m

a b c (Å): 4.8683 4.8683 4.8683
angles (deg): 60.00 60.00 60.00
With the nearest neighbours (Å) after each atom.
Fractional positions:
Pa 0.2500 0.2500 0.2500  4 Tc 2.98, 4 Li 2.98
Pa 0.7500 0.7500 0.7500  4 Li 2.98, 4 Tc 2.98
Tc 0.0000 0.0000 0.0000  8 Pa 2.98
Li 0.5000 0.5000 0.5000  8 Pa 2.98

---

[5]
A relaxed Rb2TlSbBr6 crystal, computed with PBE-GGA.

## Properties
Relative energy among the computed polymorphs (kJ per mole of atoms): 0.0
Formation energy (no corrections) (eV/atom): -1.151
VASP energy (eV per cell): -59.948
Symmetry: P2_1/c

a b c (Å): 8.0397 8.5652 11.6409
angles (deg): 90.00 89.81 90.00
With the nearest neighbours (Å) after each atom.
Fractional positions:
Rb 0.0282 0.9218 0.2504  6 Br 3.51-3.73
Rb 0.5282 0.5782 0.7504  6 Br 3.51-3.73
Rb 0.9718 0.0782 0.7496  6 Br 3.51-3.73
Rb 0.4718 0.4218 0.2496  6 Br 3.51-3.73
Tl 0.5000 0.0000 0.0000  6 Br 3.27-3.31
Tl 0.0000 0.5000 0.5000  6 Br 3.27-3.31
Sb 0.5000 0.0000 0.5000  6 Br 2.83-2.85
Sb 0.0000 0.5000 0.0000  6 Br 2.83-2.85
Br 0.2865 0.6797 0.0520  1 Sb 2.84
Br 0.7865 0.8203 0.5520  1 Sb 2.84
Br 0.7135 0.3203 0.9480  1 Sb 2.84
Br 0.2135 0.1797 0.4480  1 Sb 2.84
Br 0.3277 0.7206 0.4419  1 Sb 2.85
Br 0.8277 0.7794 0.9419  1 Sb 2.85
Br 0.6723 0.2794 0.5581  1 Sb 2.85
Br 0.1723 0.2206 0.0581  1 Sb 2.85
Br 0.8913 0.5340 0.2304  1 Sb 2.83
Br 0.3913 0.9660 0.7304  1 Sb 2.83
Br 0.1087 0.4660 0.7696  1 Sb 2.83
Br 0.6087 0.0340 0.2696  1 Sb 2.83

---

[6]
A relaxed PaNiPb crystal, computed with PBE-GGA.

## Properties
Relative energy among the computed polymorphs (kJ per mole of atoms): 12.3
E_form (eV per atom): -0.06
VASP energy (eV per cell): -19.180
Symmetry: I4mm

a b c (Å): 3.3325 3.3325 6.3432
angles (deg): 105.23 105.23 90.00
With the nearest neighbours (Å) after each atom.
Fractional positions:
Pb 0.0192 0.0192 0.0383  4 Ni 3.01, 4 Pb 3.33, 1 Pa 3.34
Ni 0.6778 0.6778 0.3557  4 Pa 2.78, 4 Pb 3.01
Pa 0.3030 0.3030 0.6060  4 Ni 2.78

---

[7]
A relaxed BaCd2Mo crystal, computed with PBE-GGA.

## Properties
Relative energy among the computed polymorphs (kJ per mole of atoms): 25.2
E_form (eV per atom): 0.72
VASP energy (eV per cell): -11.705
Symmetry: P4/mmm

a b c (Å): 4.6619 4.7964 4.7964
angles (deg): 90.00 90.00 90.00
With the nearest neighbours (Å) after each atom.
Fractional positions:
Ba 0.5000 0.0000 0.5000  8 Cd 3.34, 4 Mo 3.39
Cd 0.0000 0.0000 0.0000  4 Ba 3.34, 4 Mo 3.34, 4 Cd 3.39
Cd 0.0000 0.5000 0.5000  4 Ba 3.34, 4 Mo 3.34, 4 Cd 3.39
Mo 0.5000 0.5000 0.0000  8 Cd 3.34, 4 Ba 3.39

---

[8]
A relaxed BaPOF2 crystal, computed with PBE-GGA.

## Properties
Formation energy (no corrections) (eV/atom): -1.972
VASP energy (eV per cell): -25.892
Symmetry: P4/mmm

a b c (Å): 4.6688 4.6688 3.7319
angles (deg): 90.00 90.00 90.00
With the nearest neighbours (Å) after each atom.
Fractional positions:
P 0.0000 0.0000 0.0000  2 O 1.87
Ba 0.5000 0.5000 0.5000  8 F 2.99, 4 O 3.30
O 0.0000 0.0000 0.5000  2 P 1.87
F 0.0000 0.5000 0.0000  2 P 2.33
F 0.5000 0.0000 0.0000  2 P 2.33

---

[9]
A relaxed CaBeCr2 crystal, computed with PBE-GGA.

## Properties
E_form (eV per atom): 0.73
VASP energy (eV per cell): -22.039
Symmetry: Cmm2

a b c (Å): 2.6451 2.6451 8.4863
angles (deg): 90.00 90.00 106.95
With the nearest neighbours (Å) after each atom.
Fractional positions:
Cr 0.0000 0.0000 0.0466  6 Cr 2.36-2.65
Cr 0.5000 0.5000 0.2541  2 Be 2.34, 2 Cr 2.36
Ca 0.5000 0.5000 0.7415  4 Ca 2.65, 2 Be 2.88
Be 0.0000 0.0000 0.4578  2 Cr 2.34

---

[10]
A relaxed InP crystal, computed with PBE-GGA.

## Properties
E_form (eV per atom): 0.15
VASP energy (eV per cell): -15.701
Symmetry: P6_3/mmc

a b c (Å): 3.8886 3.8886 6.6418
angles (deg): 90.00 90.00 120.00
With the nearest neighbours (Å) after each atom.
Fractional positions:
In 0.3333 0.6667 0.2500  6 P 2.79
In 0.6667 0.3333 0.7500  6 P 2.79
P 0.0000 0.0000 0.0000  6 In 2.79
P 0.0000 0.0000 0.5000  6 In 2.79

---

[11]
A relaxed RbBe3ZnF9 crystal, computed with PBE-GGA.

## Properties
Formation energy (no corrections) (eV/atom): -3.044
VASP energy (eV per cell): -145.749
Symmetry: P-6c2

a b c (Å): 6.7808 6.7808 9.8011
angles (deg): 90.00 90.00 120.00
With the nearest neighbours (Å) after each atom.
Fractional positions:
Rb 0.3333 0.6667 0.5000  6 F 2.87
Rb 0.3333 0.6667 0.0000  6 F 2.87
Be 0.8759 0.2666 0.2500  4 F 1.54-1.60
Be 0.8759 0.6093 0.7500  4 F 1.54-1.60
Be 0.3907 0.2666 0.7500  4 F 1.54-1.60
Be 0.7334 0.1241 0.7500  4 F 1.54-1.60
Be 0.7334 0.6093 0.2500  4 F 1.54-1.60
Be 0.3907 0.1241 0.2500  4 F 1.54-1.60
Zn 0.0000 0.0000 0.5000  6 F 2.06
Zn 0.0000 0.0000 0.0000  6 F 2.06
F 0.7540 0.0079 0.6196  1 Be 1.54
F 0.2539 0.2460 0.6196  1 Be 1.54
F 0.9921 0.7461 0.6196  1 Be 1.54
F 0.9921 0.2460 0.3804  1 Be 1.54
F 0.9069 0.5171 0.2500  2 Be 1.58-1.60
F 0.6102 0.0931 0.2500  2 Be 1.58-1.60
F 0.4829 0.3898 0.2500  2 Be 1.58-1.60
F 0.4829 0.0931 0.7500  2 Be 1.58-1.60
F 0.6102 0.5171 0.7500  2 Be 1.58-1.60
F 0.9069 0.3898 0.7500  2 Be 1.58-1.60
F 0.9921 0.2460 0.1196  1 Be 1.54
F 0.2539 0.0079 0.3804  1 Be 1.54
F 0.7540 0.7461 0.3804  1 Be 1.54
F 0.7540 0.7461 0.1196  1 Be 1.54
F 0.2539 0.0079 0.1196  1 Be 1.54
F 0.7540 0.0079 0.8804  1 Be 1.54
F 0.2539 0.2460 0.8804  1 Be 1.54
F 0.9921 0.7461 0.8804  1 Be 1.54

---

[12]
A relaxed NdEuZnAg crystal, computed with PBE-GGA.

## Properties
E_form (eV per atom): -0.26
VASP energy (eV per cell): -20.209
Symmetry: F-43m

a b c (Å): 5.3028 5.3028 5.3028
angles (deg): 60.00 60.00 60.00
With the nearest neighbours (Å) after each atom.
Fractional positions:
Eu 0.7500 0.7500 0.7500  4 Zn 3.25, 4 Ag 3.25
Zn 0.0000 0.0000 0.0000  4 Nd 3.25, 4 Eu 3.25
Nd 0.2500 0.2500 0.2500  4 Zn 3.25, 4 Ag 3.25
Ag 0.5000 0.5000 0.5000  4 Nd 3.25, 4 Eu 3.25

---

Which of these has the lowest VASP energy?
RbBe3ZnF9

---

Look up the VASP energy of the sixth one.
-19.180 eV per cell

---

Which formula does entry 5 have?
Rb2TlSbBr6

---

The lowest VASP energy belongs to which entry?
RbBe3ZnF9